No. 1
Entry from the Alexandria database: a crystal of MgMo2Br relaxed with PBEsol (meta-GGA SCAN).

## Properties
E_tot in Ha/atom: -0.85616

The structure in CIF format:
```
data_MgMo2Br
_cell_length_a 3.261
_cell_length_b 5.187
_cell_length_c 8.688
_cell_angle_alpha 90.00
_cell_angle_beta 90.00
_cell_angle_gamma 90.00
_symmetry_space_group_name_H-M 'P 1'
_symmetry_Int_Tables_number 1
loop_
_symmetry_equiv_pos_as_xyz
'x,y,z'
loop_
_atom_site_label
_atom_site_type_symbol
_atom_site_fract_x
_atom_site_fract_y
_atom_site_fract_z
Mg1 Mg 0.000 0.000 0.000
Mg2 Mg 0.500 0.500 0.000
Mo1 Mo 0.000 0.000 0.476
Mo2 Mo 0.000 0.500 0.269
Mo3 Mo 0.500 0.000 0.269
Mo4 Mo 0.500 0.500 0.476
Br1 Br 0.000 0.500 0.758
Br2 Br 0.500 0.000 0.758
```

No. 2
Entry from the Alexandria database: a crystal of MnPdS2 relaxed with PBEsol (meta-GGA SCAN).

## Properties
E_tot in Ha/atom: -0.66640

The structure in CIF format:
```
data_MnPdS2
_cell_length_a 3.101
_cell_length_b 3.101
_cell_length_c 21.780
_cell_angle_alpha 90.00
_cell_angle_beta 90.00
_cell_angle_gamma 120.00
_symmetry_space_group_name_H-M 'P 1'
_symmetry_Int_Tables_number 1
loop_
_symmetry_equiv_pos_as_xyz
'x,y,z'
loop_
_atom_site_label
_atom_site_type_symbol
_atom_site_fract_x
_atom_site_fract_y
_atom_site_fract_z
Mn1 Mn 0.000 0.000 0.000
Mn2 Mn 0.333 0.667 0.667
Mn3 Mn 0.667 0.333 0.333
Pd1 Pd 0.000 0.000 0.500
Pd2 Pd 0.333 0.667 0.167
Pd3 Pd 0.667 0.333 0.833
S1 S 0.000 0.000 0.396
S2 S 0.000 0.000 0.604
S3 S 0.333 0.667 0.063
S4 S 0.333 0.667 0.270
S5 S 0.667 0.333 0.730
S6 S 0.667 0.333 0.937
```

No. 3
Entry from the Alexandria database: a crystal of Cd3Pt relaxed with PBEsol (meta-GGA SCAN).

## Properties
E_tot in Ha/atom: -1.49100

The structure in CIF format:
```
data_Cd3Pt
_cell_length_a 4.160
_cell_length_b 4.160
_cell_length_c 4.160
_cell_angle_alpha 90.00
_cell_angle_beta 90.00
_cell_angle_gamma 90.00
_symmetry_space_group_name_H-M 'P 1'
_symmetry_Int_Tables_number 1
loop_
_symmetry_equiv_pos_as_xyz
'x,y,z'
loop_
_atom_site_label
_atom_site_type_symbol
_atom_site_fract_x
_atom_site_fract_y
_atom_site_fract_z
Cd1 Cd 0.000 0.000 0.500
Cd2 Cd 0.000 0.500 0.000
Cd3 Cd 0.500 0.000 0.000
Pt1 Pt 0.500 0.500 0.500
```

No. 4
Entry from the Alexandria database: a crystal of NbFeSbTe2 relaxed with PBEsol (meta-GGA SCAN).

## Properties
E_tot in Ha/atom: -1.17068

The structure in CIF format:
```
data_NbFeSbTe2
_cell_length_a 4.997
_cell_length_b 4.997
_cell_length_c 4.676
_cell_angle_alpha 90.00
_cell_angle_beta 90.00
_cell_angle_gamma 90.00
_symmetry_space_group_name_H-M 'P 1'
_symmetry_Int_Tables_number 1
loop_
_symmetry_equiv_pos_as_xyz
'x,y,z'
loop_
_atom_site_label
_atom_site_type_symbol
_atom_site_fract_x
_atom_site_fract_y
_atom_site_fract_z
Nb1 Nb 0.000 0.000 0.000
Fe1 Fe 0.500 0.500 0.500
Sb1 Sb 0.500 0.500 0.000
Te1 Te 0.000 0.500 0.500
Te2 Te 0.500 0.000 0.500
```

No. 5
Entry from the Alexandria database: a crystal of Er2S3O12 relaxed with PBEsol (meta-GGA SCAN).

## Properties
E_tot in Ha/atom: -0.53098

The structure in CIF format:
```
data_Er2S3O12
_cell_length_a 12.773
_cell_length_b 9.152
_cell_length_c 9.232
_cell_angle_alpha 90.00
_cell_angle_beta 90.00
_cell_angle_gamma 90.00
_symmetry_space_group_name_H-M 'P 1'
_symmetry_Int_Tables_number 1
loop_
_symmetry_equiv_pos_as_xyz
'x,y,z'
loop_
_atom_site_label
_atom_site_type_symbol
_atom_site_fract_x
_atom_site_fract_y
_atom_site_fract_z
Er1 Er 0.117 0.250 0.036
Er2 Er 0.117 0.750 0.536
Er3 Er 0.383 0.250 0.536
Er4 Er 0.383 0.750 0.036
Er5 Er 0.617 0.250 0.964
Er6 Er 0.617 0.750 0.464
Er7 Er 0.883 0.250 0.464
Er8 Er 0.883 0.750 0.964
S1 S 0.000 0.033 0.750
S2 S 0.000 0.967 0.250
S3 S 0.145 0.392 0.389
S4 S 0.145 0.608 0.889
S5 S 0.355 0.108 0.889
S6 S 0.355 0.892 0.389
S7 S 0.500 0.467 0.250
S8 S 0.500 0.533 0.750
S9 S 0.645 0.108 0.611
S10 S 0.645 0.892 0.111
S11 S 0.855 0.392 0.111
S12 S 0.855 0.608 0.611
O1 O 0.041 0.333 0.428
O2 O 0.041 0.667 0.928
O3 O 0.060 0.127 0.850
O4 O 0.060 0.873 0.350
O5 O 0.074 0.059 0.168
O6 O 0.074 0.941 0.668
O7 O 0.146 0.448 0.909
O8 O 0.146 0.552 0.409
O9 O 0.169 0.358 0.237
O10 O 0.169 0.642 0.737
O11 O 0.225 0.325 0.485
O12 O 0.225 0.675 0.985
O13 O 0.275 0.175 0.985
O14 O 0.275 0.825 0.485
O15 O 0.331 0.142 0.737
O16 O 0.331 0.858 0.237
O17 O 0.354 0.052 0.409
O18 O 0.354 0.948 0.909
O19 O 0.426 0.441 0.668
O20 O 0.426 0.559 0.168
O21 O 0.440 0.373 0.350
O22 O 0.440 0.627 0.850
O23 O 0.459 0.167 0.928
O24 O 0.459 0.833 0.428
O25 O 0.541 0.167 0.572
O26 O 0.541 0.833 0.072
O27 O 0.560 0.373 0.150
O28 O 0.560 0.627 0.650
O29 O 0.574 0.441 0.832
O30 O 0.574 0.559 0.332
O31 O 0.646 0.052 0.091
O32 O 0.646 0.948 0.591
O33 O 0.669 0.142 0.763
O34 O 0.669 0.858 0.263
O35 O 0.725 0.175 0.515
O36 O 0.725 0.825 0.015
O37 O 0.775 0.325 0.015
O38 O 0.775 0.675 0.515
O39 O 0.831 0.358 0.263
O40 O 0.831 0.642 0.763
O41 O 0.854 0.448 0.591
O42 O 0.854 0.552 0.091
O43 O 0.926 0.059 0.332
O44 O 0.926 0.941 0.832
O45 O 0.940 0.127 0.650
O46 O 0.940 0.873 0.150
O47 O 0.959 0.333 0.072
O48 O 0.959 0.667 0.572
```

No. 6
Entry from the Alexandria database: a crystal of RbTe2SN relaxed with PBEsol (meta-GGA SCAN).

## Properties
E_tot in Ha/atom: -0.82719

The structure in CIF format:
```
data_RbTe2SN
_cell_length_a 6.480
_cell_length_b 6.480
_cell_length_c 3.226
_cell_angle_alpha 90.00
_cell_angle_beta 90.00
_cell_angle_gamma 90.00
_symmetry_space_group_name_H-M 'P 1'
_symmetry_Int_Tables_number 1
loop_
_symmetry_equiv_pos_as_xyz
'x,y,z'
loop_
_atom_site_label
_atom_site_type_symbol
_atom_site_fract_x
_atom_site_fract_y
_atom_site_fract_z
Rb1 Rb 0.000 0.000 0.000
Te1 Te 0.000 0.500 0.500
Te2 Te 0.500 0.000 0.500
S1 S 0.500 0.500 0.500
N1 N 0.500 0.500 0.000
```

No. 7
Entry from the Alexandria database: a crystal of LaMnRh2 relaxed with PBEsol (meta-GGA SCAN).

## Properties
E_tot in Ha/atom: -1.20211

The structure in CIF format:
```
data_LaMnRh2
_cell_length_a 6.543
_cell_length_b 6.543
_cell_length_c 6.543
_cell_angle_alpha 90.00
_cell_angle_beta 90.00
_cell_angle_gamma 90.00
_symmetry_space_group_name_H-M 'P 1'
_symmetry_Int_Tables_number 1
loop_
_symmetry_equiv_pos_as_xyz
'x,y,z'
loop_
_atom_site_label
_atom_site_type_symbol
_atom_site_fract_x
_atom_site_fract_y
_atom_site_fract_z
La1 La 0.000 0.000 0.000
La2 La 0.000 0.500 0.500
La3 La 0.500 0.000 0.500
La4 La 0.500 0.500 0.000
Mn1 Mn 0.000 0.000 0.500
Mn2 Mn 0.000 0.500 0.000
Mn3 Mn 0.500 0.000 0.000
Mn4 Mn 0.500 0.500 0.500
Rh1 Rh 0.250 0.250 0.250
Rh2 Rh 0.250 0.250 0.750
Rh3 Rh 0.250 0.750 0.250
Rh4 Rh 0.250 0.750 0.750
Rh5 Rh 0.750 0.250 0.250
Rh6 Rh 0.750 0.250 0.750
Rh7 Rh 0.750 0.750 0.250
Rh8 Rh 0.750 0.750 0.750
```

No. 8
Entry from the Alexandria database: a crystal of KMnMo2 relaxed with PBEsol (meta-GGA SCAN).

## Properties
E_tot in Ha/atom: -0.84767

The structure in CIF format:
```
data_KMnMo2
_cell_length_a 2.556
_cell_length_b 5.212
_cell_length_c 10.848
_cell_angle_alpha 90.00
_cell_angle_beta 90.00
_cell_angle_gamma 90.00
_symmetry_space_group_name_H-M 'P 1'
_symmetry_Int_Tables_number 1
loop_
_symmetry_equiv_pos_as_xyz
'x,y,z'
loop_
_atom_site_label
_atom_site_type_symbol
_atom_site_fract_x
_atom_site_fract_y
_atom_site_fract_z
K1 K 0.000 0.000 0.000
K2 K 0.500 0.500 0.500
Mn1 Mn 0.000 0.000 0.500
Mn2 Mn 0.500 0.500 0.000
Mo1 Mo 0.000 0.500 0.208
Mo2 Mo 0.000 0.500 0.792
Mo3 Mo 0.500 0.000 0.292
Mo4 Mo 0.500 0.000 0.708
```

No. 9
Entry from the Alexandria database: a crystal of LaMg2In relaxed with PBEsol (meta-GGA SCAN).

## Properties
E_tot in Ha/atom: -0.80443

The structure in CIF format:
```
data_LaMg2In
_cell_length_a 3.259
_cell_length_b 4.856
_cell_length_c 6.789
_cell_angle_alpha 90.00
_cell_angle_beta 103.88
_cell_angle_gamma 90.00
_symmetry_space_group_name_H-M 'P 1'
_symmetry_Int_Tables_number 1
loop_
_symmetry_equiv_pos_as_xyz
'x,y,z'
loop_
_atom_site_label
_atom_site_type_symbol
_atom_site_fract_x
_atom_site_fract_y
_atom_site_fract_z
La1 La 0.000 0.000 0.000
Mg1 Mg 0.258 0.000 0.511
Mg2 Mg 0.662 0.500 0.321
In1 In 0.382 0.500 0.764
```

No. 10
Entry from the Alexandria database: a crystal of ZrTc2Br relaxed with PBEsol (meta-GGA SCAN).

## Properties
E_tot in Ha/atom: -1.08908

The structure in CIF format:
```
data_ZrTc2Br
_cell_length_a 3.196
_cell_length_b 3.196
_cell_length_c 6.435
_cell_angle_alpha 90.00
_cell_angle_beta 90.00
_cell_angle_gamma 90.00
_symmetry_space_group_name_H-M 'P 1'
_symmetry_Int_Tables_number 1
loop_
_symmetry_equiv_pos_as_xyz
'x,y,z'
loop_
_atom_site_label
_atom_site_type_symbol
_atom_site_fract_x
_atom_site_fract_y
_atom_site_fract_z
Zr1 Zr 0.000 0.000 0.000
Tc1 Tc 0.500 0.500 0.252
Tc2 Tc 0.500 0.500 0.748
Br1 Br 0.000 0.000 0.500
```

No. 11
Entry from the Alexandria database: a crystal of Sb3NCl relaxed with PBEsol (meta-GGA SCAN).

## Properties
E_tot in Ha/atom: -0.88060

The structure in CIF format:
```
data_Sb3NCl
_cell_length_a 5.280
_cell_length_b 5.280
_cell_length_c 5.280
_cell_angle_alpha 90.00
_cell_angle_beta 90.00
_cell_angle_gamma 90.00
_symmetry_space_group_name_H-M 'P 1'
_symmetry_Int_Tables_number 1
loop_
_symmetry_equiv_pos_as_xyz
'x,y,z'
loop_
_atom_site_label
_atom_site_type_symbol
_atom_site_fract_x
_atom_site_fract_y
_atom_site_fract_z
Sb1 Sb 0.000 0.000 0.500
Sb2 Sb 0.000 0.500 0.000
Sb3 Sb 0.500 0.000 0.000
N1 N 0.500 0.500 0.500
Cl1 Cl 0.000 0.000 0.000
```

No. 12
Entry from the Alexandria database: a crystal of Sr3B6O11F2 relaxed with PBEsol (meta-GGA SCAN).

## Properties
E_tot in Ha/atom: -0.42569

The structure in CIF format:
```
data_Sr3B6O11F2
_cell_length_a 6.369
_cell_length_b 8.235
_cell_length_c 9.411
_cell_angle_alpha 90.00
_cell_angle_beta 101.54
_cell_angle_gamma 90.00
_symmetry_space_group_name_H-M 'P 1'
_symmetry_Int_Tables_number 1
loop_
_symmetry_equiv_pos_as_xyz
'x,y,z'
loop_
_atom_site_label
_atom_site_type_symbol
_atom_site_fract_x
_atom_site_fract_y
_atom_site_fract_z
Sr1 Sr 0.020 0.000 0.235
Sr2 Sr 0.436 0.360 0.469
Sr3 Sr 0.455 0.844 0.945
Sr4 Sr 0.545 0.344 0.055
Sr5 Sr 0.564 0.860 0.531
Sr6 Sr 0.980 0.500 0.765
B1 B 0.010 0.683 0.443
B2 B 0.069 0.360 0.144
B3 B 0.107 0.139 0.937
B4 B 0.109 0.899 0.628
B5 B 0.268 0.622 0.212
B6 B 0.331 0.146 0.733
B7 B 0.669 0.646 0.267
B8 B 0.732 0.122 0.788
B9 B 0.891 0.399 0.372
B10 B 0.893 0.639 0.063
B11 B 0.931 0.860 0.856
B12 B 0.990 0.183 0.557
O1 O 0.017 0.803 0.729
O2 O 0.053 0.520 0.447
O3 O 0.080 0.962 0.958
O4 O 0.085 0.708 0.163
O5 O 0.139 0.215 0.079
O6 O 0.164 0.786 0.516
O7 O 0.181 0.248 0.628
O8 O 0.271 0.456 0.202
O9 O 0.300 0.173 0.879
O10 O 0.310 0.975 0.692
O11 O 0.450 0.706 0.275
O12 O 0.550 0.206 0.725
O13 O 0.690 0.475 0.308
O14 O 0.700 0.673 0.121
O15 O 0.729 0.956 0.798
O16 O 0.819 0.748 0.372
O17 O 0.836 0.286 0.484
O18 O 0.861 0.715 0.921
O19 O 0.915 0.208 0.837
O20 O 0.920 0.462 0.042
O21 O 0.947 0.020 0.553
O22 O 0.983 0.303 0.271
F1 F 0.335 0.558 0.904
F2 F 0.370 0.078 0.389
F3 F 0.630 0.578 0.611
F4 F 0.665 0.058 0.096
```

What is the E_tot in the third record?
-1.49100 Ha/atom